# PBE HoEr2PaP4, relaxed
data_HoEr2PaP4
_chemical_formula_sum 'Ho1 Er2 Pa1 P4'
_cell_length_a 3.974
_cell_length_b 6.866
_cell_length_c 6.860
_cell_angle_alpha 109.49
_cell_angle_beta 90.00
_cell_angle_gamma 90.00
_symmetry_space_group_name_H-M 'P 1'
_symmetry_Int_Tables_number 1
loop_
_symmetry_equiv_pos_as_xyz
'x,y,z'
loop_
_atom_site_label
_atom_site_type_symbol
_atom_site_fract_x
_atom_site_fract_y
_atom_site_fract_z
_atom_site_occupancy
P1 P 0.000 0.748 0.249 1
Pa1 Pa 0.500 0.500 0.000 1
P2 P 0.000 0.252 0.751 1
Er1 Er 0.500 0.000 0.500 1
P3 P 0.500 0.253 0.249 1
Er2 Er 0.000 0.500 0.500 1
Ho1 Ho 0.000 0.000 0.000 1
P4 P 0.500 0.747 0.751 1
# **DOS at the Fermi energy**: 4.65 states/eV per cell
# **V**: 176.4 Å³/cell
# **Final energy**: -7.148 eV per atom
# **Crystal system**: monoclinic

***

# PBE Rb2CuMo, relaxed
data_Rb2CuMo
_chemical_formula_sum 'Rb2 Cu1 Mo1'
_cell_length_a 6.127
_cell_length_b 6.127
_cell_length_c 6.127
_cell_angle_alpha 60.00
_cell_angle_beta 60.00
_cell_angle_gamma 60.00
_symmetry_space_group_name_H-M 'P 1'
_symmetry_Int_Tables_number 1
loop_
_symmetry_equiv_pos_as_xyz
'x,y,z'
loop_
_atom_site_label
_atom_site_type_symbol
_atom_site_fract_x
_atom_site_fract_y
_atom_site_fract_z
_atom_site_occupancy
Cu1 Cu 0.000 0.000 0.000 1
Rb1 Rb 0.250 0.250 0.250 1
Rb2 Rb 0.750 0.750 0.750 1
Mo1 Mo 0.500 0.500 0.500 1
# **DOS at the Fermi energy**: 0.54 states/eV per cell
# **V**: 162.6 Å³/cell
# **Final energy**: -2.747 eV per atom
# **Crystal system**: cubic